Entry 1:
Density functional theory data (PBE-GGA) for a relaxed Li2Mg4Sc crystal.

Cell and atoms, written as CIF:
```
data_Li2Mg4Sc
_chemical_formula_sum 'Li4 Mg8 Sc2'
_cell_length_a 3.195
_cell_length_b 31.603
_cell_length_c 3.128
_cell_angle_alpha 90.00
_cell_angle_beta 90.00
_cell_angle_gamma 90.00
_space_group_name_H-M_alt 'C m m m'
_space_group_IT_number 65
_space_group_name_Hall '-C 2 2'
loop_
_atom_site_label
_atom_site_type_symbol
_atom_site_fract_x
_atom_site_fract_y
_atom_site_fract_z
Li1 Li 0.000 0.211 0.000
Mg1 Mg 0.000 0.073 0.000
Mg2 Mg 0.000 0.355 0.500
Sc1 Sc 0.000 0.500 0.500
```

Summary:
As for the formation energy: 0.00 eV per atom. Its mass density is 1.64 g cm⁻³. The final energy is -2.37 eV/atom.

***

Entry 2:
Density functional theory data (PBE-GGA) for a relaxed LiMg2Sc crystal.

Cell and atoms, written as CIF:
```
data_LiMg2Sc
_chemical_formula_sum 'Li1 Mg2 Sc1'
_cell_length_a 3.273
_cell_length_b 3.288
_cell_length_c 8.093
_cell_angle_alpha 90.00
_cell_angle_beta 90.00
_cell_angle_gamma 90.00
_space_group_name_H-M_alt 'P m m m'
_space_group_IT_number 47
loop_
_space_group_symop_operation_xyz
'x,y,z'
'-x,-y,-z'
'-x,-y,z'
'x,y,-z'
'x,-y,-z'
'-x,y,z'
'-x,y,-z'
'x,-y,z'
loop_
_atom_site_label
_atom_site_type_symbol
_atom_site_fract_x
_atom_site_fract_y
_atom_site_fract_z
Li1 Li 0.000 0.000 0.000
Mg1 Mg 0.500 0.500 0.228
Sc1 Sc 0.000 0.000 0.500
```

Summary:
As for the formation energy: -0.03 eV per atom. Its mass density is 1.92 g cm⁻³. The final energy is -2.89 eV/atom. For the energy above the most stable polymorph in this dataset, the calculation gives 0 meV/atom.

***

Entry 3:
Density functional theory data (PBE-GGA) for a relaxed LiMg9Sc2 crystal.

Cell and atoms, written as CIF:
```
data_LiMg9Sc2
_chemical_formula_sum 'Li2 Mg18 Sc4'
_cell_length_a 10.186
_cell_length_b 5.867
_cell_length_c 10.451
_cell_angle_alpha 90.00
_cell_angle_beta 109.19
_cell_angle_gamma 90.00
_space_group_name_H-M_alt 'C 1 2/m 1'
_space_group_IT_number 12
loop_
_space_group_symop_operation_xyz
'x,y,z'
'-x,-y,-z'
'-x,y,-z'
'x,-y,z'
'x+1/2,y+1/2,z'
'-x+1/2,-y+1/2,-z'
'-x+1/2,y+1/2,-z'
'x+1/2,-y+1/2,z'
loop_
_atom_site_label
_atom_site_type_symbol
_atom_site_fract_x
_atom_site_fract_y
_atom_site_fract_z
Li1 Li 0.000 0.000 0.000
Mg1 Mg 0.000 0.500 0.500
Mg2 Mg 0.089 0.500 0.262
Mg3 Mg 0.165 0.500 0.997
Mg4 Mg 0.166 0.247 0.738
Sc1 Sc 0.151 0.000 0.453
```

Summary:
As for the formation energy: 0.08 eV per atom. Its mass density is 1.78 g cm⁻³. The final energy is -2.33 eV/atom.

***

Entry 4:
Density functional theory data (PBE-GGA) for a relaxed LiMg2Sc crystal.

Cell and atoms, written as CIF:
```
data_LiMg2Sc
_chemical_formula_sum 'Li2 Mg4 Sc2'
_cell_length_a 3.481
_cell_length_b 5.095
_cell_length_c 9.856
_cell_angle_alpha 90.00
_cell_angle_beta 90.00
_cell_angle_gamma 90.00
_space_group_name_H-M_alt 'I m m m'
_space_group_IT_number 71
_space_group_name_Hall '-I 2 2'
loop_
_atom_site_label
_atom_site_type_symbol
_atom_site_fract_x
_atom_site_fract_y
_atom_site_fract_z
Li1 Li 0.000 0.000 0.000
Mg1 Mg 0.000 0.500 0.273
Sc1 Sc 0.000 0.000 0.500
```

Summary:
As for the formation energy: 0.05 eV per atom. Its mass density is 1.91 g cm⁻³. The final energy is -2.81 eV/atom. For the energy above the most stable polymorph in this dataset, the calculation gives 80 meV/atom.

***

Q: Which value of mass density does entry 2 give?
A: 1.92 g cm⁻³